SrTeOs2: relaxed, GGA-PBEsol.

Unit cell a=2.9553 b=3.7398 c=7.7010 alpha=90.00 beta=90.00 gamma=90.00
Closest atoms and distances in Å follow each position.
Space group Pmm2 (No. 25)
One atom of each set of equivalent atoms:
Sr1 0.0000 0.0000 0.0000 x1  2 Sr 2.96, 5 Os 3.21-3.26
Te1 0.5000 0.5000 0.3211 x1  2 Te 2.96, 5 Os 3.01-3.12
Os1 0.0000 0.0000 0.5833 x1  4 Os 2.58
Os2 0.5000 0.5000 0.7115 x1  4 Os 2.58

***

Re2Se: relaxed, GGA-PBEsol.

Unit cell a=4.3362 b=4.3362 c=2.9897 alpha=90.00 beta=90.00 gamma=120.00
Closest atoms and distances in Å follow each position.
Space group P6/mmm (No. 191)
One atom of each set of equivalent atoms:
Re1 0.3333 0.6667 0.0000 x2  3 Re 2.50
Se1 0.0000 0.0000 0.5000 x1  12 Re 2.92, 2 Se 2.99

Relative energy among the computed polymorphs ... 0.744 eV per atom

***

MgPN2F: relaxed, GGA-PBEsol.

Unit cell a=4.0846 b=4.0846 c=3.5512 alpha=90.00 beta=90.00 gamma=90.00
Closest atoms and distances in Å follow each position.
Space group P4/mmm (No. 123)
One atom of each set of equivalent atoms:
Mg1 0.0000 0.0000 0.0000 x1  2 F 1.78
P1 0.5000 0.5000 0.5000 x1  8 N 2.71, 4 F 2.89
N1 0.0000 0.5000 0.0000 x2  2 Mg 2.04
F1 0.0000 0.0000 0.5000 x1  2 Mg 1.78

***

Cd3RhN: relaxed, GGA-PBEsol.

Unit cell a=4.4004 b=4.4004 c=4.4004 alpha=90.00 beta=90.00 gamma=90.00
Closest atoms and distances in Å follow each position.
Space group Pm-3m (No. 221)
One atom of each set of equivalent atoms:
Cd1 0.0000 0.0000 0.5000 x3  2 N 2.20
Rh1 0.5000 0.5000 0.5000 x1  12 Cd 3.11
N1 0.0000 0.0000 0.0000 x1  6 Cd 2.20

***

no.,formation energy from raw total energies (eV/atom),magnetization (μB per atom),calculated volume (Å³ per atom)
1,0.458,0.000,21.3
2,1.028,0.000,16.2
3,0.666,0.392,11.8
4,0.585,0.000,17.0